Record 1
# TmNpOs2

TmNpOs2 after structural relaxation (PBE-GGA, Alexandria via LeMat-Bulk).

Lattice parameters (Å, degrees): 6.743 6.743 6.743 90.00 90.00 90.00
Space group Fm-3m (No. 225)
Unique sites:
Tm 0.000 0.000 0.000 [4 per cell]
Np 0.000 0.000 0.500 [4 per cell]
Os 0.250 0.250 0.250 [8 per cell]

- ΔH_f (0 K) (eV per atom) = -0.047
- total magnetization (μB/atom) = 0.6706
- calculated total energy (eV/atom) = -10.0150

=====

Record 2
# TmNpOs2

TmNpOs2 after structural relaxation (PBE-GGA, Alexandria via LeMat-Bulk).

Lattice parameters (Å, degrees): 3.366 3.366 6.790 90.00 90.00 90.00
Space group P4/mmm (No. 123)
Unique sites:
Tm 0.000 0.000 0.000 [1 per cell]
Np 0.000 0.000 0.500 [1 per cell]
Os 0.500 0.500 0.266 [2 per cell]

- ΔH_f (0 K) (eV per atom) = -0.071
- total magnetization (μB/atom) = 0.6460
- calculated total energy (eV/atom) = -10.0393

=====

Record 3
# TmNpZnOs

TmNpZnOs after structural relaxation (PBE-GGA, Alexandria via LeMat-Bulk).

Lattice parameters (Å, degrees): 6.872 6.872 6.872 90.00 90.00 90.00
Space group F-43m (No. 216)
Unique sites:
Tm 0.000 0.000 0.000 [4 per cell]
Np 0.000 0.000 0.500 [4 per cell]
Zn 0.250 0.250 0.750 [4 per cell]
Os 0.250 0.250 0.250 [4 per cell]

- ΔH_f (0 K) (eV per atom) = 0.006
- total magnetization (μB/atom) = 0.9233
- calculated total energy (eV/atom) = -7.4729